A plane-wave DFT calculation with PBE was carried out for a relaxed structure of ZnReBPb2.

- ΔE_f: 1.4815 eV/atom
- Symmetry: P4/mmm, No. 123

a b c (Å): 5.2802 4.9523 5.2802
angles (deg): 90.00 90.00 90.00
Closest atoms and distances in Å follow each position.
Atoms (fractional coordinates):
Pb (0.5000, 0.0000, 0.0000)  2 Re 2.64
Pb (0.0000, 0.0000, 0.5000)  2 Re 2.64
Zn (0.0000, 0.5000, 0.0000)  2 Re 2.48
Re (0.0000, 0.0000, 0.0000)  2 Zn 2.48, 4 Pb 2.64
B (0.5000, 0.5000, 0.5000)  8 Pb 3.62, 4 Zn 3.73

***

A plane-wave DFT calculation with PBE was carried out for a relaxed structure of Tc3OsW.

- Excess energy over the best structure of this formula in the dataset: 141 meV/atom
- ΔE_f: 2.2255 eV/atom
- Symmetry: Pm-3m, No. 221

a b c (Å): 4.5929 4.5929 4.5929
angles (deg): 90.00 90.00 90.00
Closest atoms and distances in Å follow each position.
Atoms (fractional coordinates):
Tc (0.5000, 0.0000, 0.0000)  2 W 2.30
Tc (0.0000, 0.0000, 0.5000)  2 W 2.30
Tc (0.0000, 0.5000, 0.0000)  2 W 2.30
W (0.0000, 0.0000, 0.0000)  6 Tc 2.30
Os (0.5000, 0.5000, 0.5000)  12 Tc 3.25

***

A plane-wave DFT calculation with PBE was carried out for a relaxed structure of K3Ce2Te6Pb.

- Uncorrected formation energy: -13.84 eV per formula unit
- Symmetry: C2/m, No. 12

a b c (Å): 8.0804 8.0804 8.5964
angles (deg): 99.02 99.02 119.99
Closest atoms and distances in Å follow each position.
Atoms (fractional coordinates):
Te (0.2762, 0.2762, 0.7886)  2 Ce 3.16, 1 Pb 3.29, 1 K 3.50
Te (0.5822, 0.9288, 0.7874)  2 Ce 3.16, 1 Pb 3.30
Te (0.4178, 0.0712, 0.2126)  2 Ce 3.16, 1 Pb 3.30
Te (0.0712, 0.4178, 0.2126)  2 Ce 3.16, 1 Pb 3.30
Te (0.9288, 0.5822, 0.7874)  2 Ce 3.16, 1 Pb 3.30
Te (0.7238, 0.7238, 0.2114)  2 Ce 3.16, 1 Pb 3.29, 1 K 3.50
Ce (0.3327, 0.6673, 0.0000)  6 Te 3.16
Ce (0.6673, 0.3327, 0.0000)  6 Te 3.16
K (0.1617, 0.8383, 0.5000)  6 Te 3.54-3.62
K (0.5000, 0.5000, 0.5000)  6 Te 3.50-3.61
K (0.8383, 0.1617, 0.5000)  6 Te 3.54-3.62
Pb (0.0000, 0.0000, 0.0000)  6 Te 3.29-3.30

***

A plane-wave DFT calculation with PBE was carried out for a relaxed structure of Be2BH3O5.

- Symmetry: P2_1, No. 4
- Energy: -71.26 eV per formula unit

a b c (Å): 10.8029 4.4408 4.4606
angles (deg): 60.08 90.00 90.00
Closest atoms and distances in Å follow each position.
Atoms (fractional coordinates):
O (0.4548, 0.9921, 0.0316)  2 H 1.03
O (0.2511, 0.6244, 0.3637)  1 B 1.38
O (0.9548, 0.0079, 0.9684)  2 H 1.03
O (0.0467, 0.6423, 0.6995)  1 H 0.98
O (0.2491, 0.3137, 0.0557)  1 B 1.38
O (0.7522, 0.9955, 0.3260)  1 B 1.38
O (0.7491, 0.6863, 0.9443)  1 B 1.38
O (0.5467, 0.3577, 0.3005)  1 H 0.98
O (0.7511, 0.3756, 0.6363)  1 B 1.38
O (0.2522, 0.0045, 0.6740)  1 B 1.38
H (0.4947, 0.7497, 0.1384)  1 O 1.03
H (0.0154, 0.7622, 0.4606)  1 O 0.98
H (0.5154, 0.2378, 0.5394)  1 O 0.98
H (0.9930, 0.8714, 0.8607)  1 O 1.03
H (0.4930, 0.1286, 0.1393)  1 O 1.03
H (0.9947, 0.2503, 0.8616)  1 O 1.03
Be (0.1971, 0.6468, 0.6977)  4 O 1.62-1.65
Be (0.2996, 0.9828, 0.0312)  4 O 1.62-1.68
Be (0.7996, 0.0172, 0.9688)  4 O 1.62-1.68
Be (0.6971, 0.3532, 0.3023)  4 O 1.62-1.65
B (0.7510, 0.6859, 0.6353)  3 O 1.38
B (0.2510, 0.3141, 0.3647)  3 O 1.38

***

A plane-wave DFT calculation with PBE was carried out for a relaxed structure of Rb3TlSb.

- Excess energy over the best structure of this formula in the dataset: 0 meV/atom
- Uncorrected formation energy: -0.91 eV per formula unit
- Symmetry: Ima2, No. 46

a b c (Å): 9.1255 9.1255 9.1255
angles (deg): 99.51 117.63 111.78
Closest atoms and distances in Å follow each position.
Atoms (fractional coordinates):
Tl (0.3818, 0.1185, 0.7633)  1 Sb 2.88
Tl (0.3552, 0.6185, 0.2367)  1 Sb 2.88
Sb (0.5771, 0.8956, 0.1815)  1 Tl 2.88
Sb (0.7140, 0.3956, 0.8185)  1 Tl 2.88
Rb (0.4782, 0.2371, 0.3180)  2 Sb 3.73-3.74, 1 Tl 4.11
Rb (0.9191, 0.1601, 0.6820)  2 Sb 3.73-3.74, 1 Tl 4.11
Rb (0.9211, 0.2470, 0.1741)  2 Sb 3.60-3.69, 1 Tl 3.85
Rb (0.4782, 0.6601, 0.7410)  2 Sb 3.73-3.74, 1 Tl 4.11
Rb (0.9191, 0.7371, 0.2590)  2 Sb 3.73-3.74, 1 Tl 4.11
Rb (0.0728, 0.7470, 0.8259)  2 Sb 3.60-3.69, 1 Tl 3.85

***

A plane-wave DFT calculation with PBE was carried out for a relaxed structure of ScTe2PN.

- Excess energy over the best structure of this formula in the dataset: 392 meV/atom
- Uncorrected formation energy: 2.62 eV per formula unit
- Symmetry: P4/mmm, No. 123

a b c (Å): 5.6208 5.6208 3.8909
angles (deg): 90.00 90.00 90.00
Closest atoms and distances in Å follow each position.
Atoms (fractional coordinates):
Sc (0.0000, 0.0000, 0.0000)  2 N 1.95
N (0.0000, 0.0000, 0.5000)  2 Sc 1.95
Te (0.0000, 0.5000, 0.0000)  2 Sc 2.81
Te (0.5000, 0.0000, 0.0000)  2 Sc 2.81
P (0.5000, 0.5000, 0.5000)  8 Te 3.42

***

A plane-wave DFT calculation with PBE was carried out for a relaxed structure of Tb2S2Br.

- Uncorrected formation energy: -9.82 eV per formula unit
- Symmetry: C2/m, No. 12

a b c (Å): 5.4678 6.8691 8.1983
angles (deg): 106.57 90.00 113.45
Closest atoms and distances in Å follow each position.
Atoms (fractional coordinates):
Tb (0.8385, 0.6771, 0.4315)  5 S 2.72-2.79, 1 Br 2.99
Tb (0.4941, 0.9882, 0.2620)  4 S 2.73-2.77, 2 Br 2.92-2.94
Tb (0.1615, 0.3229, 0.5685)  5 S 2.72-2.79, 1 Br 2.99
Tb (0.5059, 0.0118, 0.7380)  4 S 2.73-2.77, 2 Br 2.92-2.94
Br (0.6642, 0.3284, 0.0877)  3 Tb 2.92-2.99
Br (0.3358, 0.6716, 0.9123)  3 Tb 2.92-2.99
S (0.9959, 0.9919, 0.2625)  4 Tb 2.72-2.75
S (0.0041, 0.0081, 0.7375)  4 Tb 2.72-2.75
S (0.3363, 0.6726, 0.4264)  5 Tb 2.73-2.79
S (0.6637, 0.3274, 0.5736)  5 Tb 2.73-2.79

***

A plane-wave DFT calculation with PBE was carried out for a relaxed structure of SrNi2Os.

- Excess energy over the best structure of this formula in the dataset: 0 meV/atom
- ΔE_f: 0.0960 eV/atom
- Symmetry: R-3m, No. 166

a b c (Å): 4.1773 4.1773 5.7906
angles (deg): 68.85 68.85 60.00
Closest atoms and distances in Å follow each position.
Atoms (fractional coordinates):
Ni (0.5626, 0.5626, 0.3121)  3 Os 2.43, 3 Ni 2.50
Ni (0.9374, 0.9374, 0.1879)  3 Os 2.43, 3 Ni 2.50
Sr (0.7500, 0.7500, 0.7500)  2 Ni 2.96
Os (0.2500, 0.2500, 0.2500)  6 Ni 2.43

***

Number 1: ρ 8.140 g/cm³. Number 2: ρ 11.450 g/cm³. Number 3: ρ 4.929 g/cm³. Number 4: ρ 2.003 g/cm³. Number 5: ρ 3.393 g/cm³. Number 6: ρ 4.662 g/cm³. Number 7: ρ 5.713 g/cm³. Number 8: ρ 8.250 g/cm³.